Computed, not measured: Ca2GaPt after structural relaxation at the GGA-PBE level of DFT.

Cell: 7.9998 7.9998 6.5156 Å, 52.13 52.13 90.00°
Last column: nearest neighbours and their distance in Å.
Fractional coordinates of all 8 atoms:
Ca 0.8750 0.9069 0.7500  2 Pt 2.77
Ca 0.6569 0.1250 0.2500  2 Pt 2.77
Ca 0.3750 0.3431 0.7500  2 Pt 2.77
Pt 0.7500 0.2500 0.5000  4 Ca 2.77
Pt 0.0000 0.0000 0.0000  4 Ca 2.77
Ga 0.2500 0.7500 0.5000  4 Ca 3.12, 2 Pt 3.23
Ga 0.5000 0.5000 0.0000  4 Ca 3.12, 2 Pt 3.23
Ca 0.0931 0.6250 0.2500  2 Pt 2.77

Computed properties:
distance to the lowest polymorph of the same formula: 0.422 eV per atom



Computed, not measured: Ca3GaPt3 after structural relaxation at the GGA-PBE level of DFT.

Cell: 4.1681 5.7133 14.1257 Å, 90.00 90.00 111.39°
Last column: nearest neighbours and their distance in Å.
Fractional coordinates of all 14 atoms:
Ga 0.5000 0.0000 0.5000  4 Pt 2.55
Ca 0.7889 0.5779 0.3936  6 Pt 3.03-3.09
Ca 0.2111 0.4221 0.8936  6 Pt 3.03-3.09
Pt 0.9214 0.8428 0.5862  2 Ga 2.55, 1 Pt 2.71
Ca 0.2111 0.4221 0.6064  6 Pt 3.03-3.09
Ga 0.5000 0.0000 0.0000  4 Pt 2.55
Ca 0.5063 0.0126 0.2500  7 Pt 3.01-3.21
Pt 0.0786 0.1572 0.0862  2 Ga 2.55, 1 Pt 2.71
Pt 0.0786 0.1572 0.4138  2 Ga 2.55, 1 Pt 2.71
Pt 0.7893 0.5787 0.7500  2 Pt 2.71, 6 Ca 3.01-3.03
Ca 0.7889 0.5779 0.1064  6 Pt 3.03-3.09
Pt 0.9214 0.8428 0.9138  2 Ga 2.55, 1 Pt 2.71
Pt 0.2107 0.4213 0.2500  2 Pt 2.71, 6 Ca 3.01-3.03
Ca 0.4937 0.9874 0.7500  7 Pt 3.01-3.21



What did we get for formation energy from the elements? Answer: -318; -938 meV/atom, in the order shown.